[1]
{
  "formula": "Ac6Pr3Ho2",
  "functional": "PBE",
  "state": "optimized geometry",
  "lattice_angstrom": [[7.465, -2.139, 4.370], [-2.130, 6.621, 3.044], [6.854, 4.196, 18.418]],
  "species": ["Ac", "Ac", "Ac", "Ho", "Pr", "Pr", "Ho", "Ac", "Ac", "Ac", "Pr"],
  "fractional_positions": [[0.094, 0.835, 0.462], [0.716, 0.409, 0.327], [0.516, 0.914, 0.874], [0.657, 0.502, 0.843], [0.684, 0.863, 0.327], [0.316, 0.137, 0.673], [0.343, 0.498, 0.157], [0.484, 0.086, 0.126], [0.906, 0.165, 0.538], [0.284, 0.591, 0.673], [0.000, 0.000, 0.000]],
  "e_tot_ev_per_atom": -4.248,
  "dos_at_fermi_per_ev_atom": 1.3544,
  "sg": "P-1",
  "formation_energy_ev_per_atom": 0.13
}

[2]
{
  "formula": "AcPr7Ho4",
  "functional": "PBE",
  "state": "optimized geometry",
  "lattice_angstrom": [[-5.695, 1.657, -1.926], [-2.397, -6.975, -9.007], [-5.364, -3.324, 2.904]],
  "species": ["Ho", "Pr", "Pr", "Pr", "Pr", "Pr", "Pr", "Ac", "Pr", "Ho", "Ho", "Ho"],
  "fractional_positions": [[0.369, 0.775, 0.488], [0.944, 0.337, 0.775], [0.629, 0.496, 0.246], [0.371, 0.504, 0.754], [0.500, 0.000, 0.000], [0.056, 0.663, 0.225], [0.786, 0.916, 0.512], [0.000, 0.000, 0.000], [0.214, 0.084, 0.488], [0.746, 0.681, 0.827], [0.631, 0.225, 0.512], [0.254, 0.319, 0.173]],
  "e_tot_ev_per_atom": -4.390,
  "de_polymorph_ev_per_atom": 0.256,
  "dos_at_fermi_per_ev_atom": 1.4172,
  "sg": "C2/m",
  "formation_energy_ev_per_atom": 0.27
}

[3]
{
  "formula": "Ac2PrHo3",
  "functional": "PBE",
  "state": "optimized geometry",
  "lattice_angstrom": [[-4.719, -3.342, -4.825], [8.388, 1.159, -3.129], [0.642, -6.393, 3.800]],
  "species": ["Ac", "Ho", "Pr", "Ac", "Ho", "Ac", "Ac", "Ho", "Ho", "Ho", "Ho", "Pr"],
  "fractional_positions": [[0.312, 0.633, 0.408], [0.285, 0.000, 0.250], [0.712, 0.000, 0.250], [0.678, 0.367, 0.092], [0.885, 0.766, 0.942], [0.688, 0.367, 0.592], [0.322, 0.633, 0.908], [0.881, 0.766, 0.442], [0.715, 0.000, 0.750], [0.119, 0.234, 0.558], [0.115, 0.234, 0.058], [0.288, 0.000, 0.750]],
  "e_tot_ev_per_atom": -4.313,
  "dos_at_fermi_per_ev_atom": 1.2660,
  "sg": "C2/c",
  "formation_energy_ev_per_atom": 0.14
}

[4]
{
  "formula": "Ac5Pr12Ho2",
  "functional": "PBE",
  "state": "optimized geometry",
  "lattice_angstrom": [[7.061, 0.000, -2.270], [-0.953, 8.543, -2.963], [0.034, -0.194, 12.221]],
  "species": ["Ho", "Pr", "Ac", "Pr", "Ac", "Pr", "Pr", "Pr", "Pr", "Pr", "Ac", "Pr", "Ac", "Pr", "Pr", "Pr", "Pr", "Ac", "Ho"],
  "fractional_positions": [[0.741, 0.000, 0.000], [0.635, 0.625, 0.790], [0.245, 0.484, 0.490], [0.365, 0.375, 0.210], [0.755, 0.516, 0.510], [0.156, 0.625, 0.790], [0.452, 0.790, 0.399], [0.548, 0.210, 0.601], [0.453, 0.307, 0.907], [0.862, 0.955, 0.724], [0.349, 0.910, 0.699], [0.547, 0.693, 0.093], [0.000, 0.500, 0.000], [0.844, 0.375, 0.210], [0.138, 0.045, 0.276], [0.947, 0.790, 0.399], [0.053, 0.210, 0.601], [0.651, 0.090, 0.301], [0.259, 0.000, 0.000]],
  "e_tot_ev_per_atom": -4.440,
  "dos_at_fermi_per_ev_atom": 1.5767,
  "sg": "C2/m",
  "formation_energy_ev_per_atom": 0.14
}

[5]
{
  "formula": "AcPr4Ho6",
  "functional": "PBE",
  "state": "optimized geometry",
  "lattice_angstrom": [[-8.489, -0.576, 1.721], [4.193, -3.162, -6.912], [6.430, -4.536, 3.665]],
  "species": ["Ho", "Ho", "Pr", "Ac", "Pr", "Ho", "Ho", "Pr", "Ho", "Pr", "Ho"],
  "fractional_positions": [[0.317, 0.579, 0.579], [0.500, 0.500, 0.000], [0.521, 0.952, 0.952], [0.000, 0.000, 0.000], [0.000, 0.048, 0.570], [0.000, 0.421, 0.737], [0.500, 0.000, 0.500], [0.479, 0.430, 0.430], [0.000, 0.737, 0.421], [0.000, 0.570, 0.048], [0.683, 0.263, 0.263]],
  "e_tot_ev_per_atom": -4.267,
  "dos_at_fermi_per_ev_atom": 1.2892,
  "sg": "I-42m",
  "formation_energy_ev_per_atom": 0.34
}

[6]
{
  "formula": "AcPr2Ho7",
  "functional": "PBE",
  "state": "optimized geometry",
  "lattice_angstrom": [[5.593, 0.000, 0.000], [0.000, 9.302, -0.624], [0.000, -4.754, 8.020]],
  "species": ["Ac", "Ho", "Ho", "Ho", "Ho", "Ho", "Ho", "Pr", "Pr", "Ho"],
  "fractional_positions": [[0.000, 0.000, 0.000], [0.500, 0.707, 0.938], [0.500, 0.500, 0.500], [0.500, 0.062, 0.293], [0.500, 0.293, 0.062], [0.500, 0.938, 0.707], [0.000, 0.219, 0.781], [0.500, 0.702, 0.298], [0.500, 0.298, 0.702], [0.000, 0.781, 0.219]],
  "e_tot_ev_per_atom": -3.901,
  "de_polymorph_ev_per_atom": 0.636,
  "dos_at_fermi_per_ev_atom": 1.2957,
  "sg": "Cmmm",
  "formation_energy_ev_per_atom": 0.67
}